Entry from the Alexandria database: an optimized crystal structure of CdP2Pb2 (PBE).

- formation energy from the elements (kJ/mol of formula units) = 89
- M_tot (μB/f.u.) = 0.0
- E above lowest polymorph (meV per atom) = 0.0

a b c (Å): 3.371 3.371 10.800
angles (deg): 81.02 81.02 90.00
Fractional positions:
1 Cd 0.000 0.000 0.000
2 P 0.250 0.750 0.500
3 P 0.750 0.250 0.500
4 Pb 0.614 0.614 0.771
5 Pb 0.386 0.386 0.229


Entry from the Alexandria database: an optimized crystal structure of RbIO2 (PBE).

- M_tot (μB/f.u.) = 0.0
- E above lowest polymorph (meV per atom) = 969.0
- raw formation energy (eV/atom) = 0.290

a b c (Å): 4.718 4.718 4.718
angles (deg): 60.00 60.00 60.00
Fractional positions:
1 I 0.500 0.500 0.500
2 O 0.250 0.250 0.250
3 O 0.750 0.750 0.750
4 Rb 0.000 0.000 0.000


Entry from the Alexandria database: an optimized crystal structure of Al2Ag (PBE).

- formation energy from the elements (kJ/mol of formula units) = -4
- M_tot (μB/f.u.) = 0.0

a b c (Å): 2.927 6.778 5.109
angles (deg): 91.18 90.00 90.00
Fractional positions:
1 Al 0.500 0.001 0.493
2 Al 0.500 0.333 0.167
3 Al 0.000 0.333 0.667
4 Al 0.500 0.665 0.841
5 Ag 0.000 0.664 0.342
6 Ag 0.000 0.003 0.991


Entry from the Alexandria database: an optimized crystal structure of Ho8Sb4Te3 (PBE).

- M_tot (μB/f.u.) = 0.0
- raw formation energy (eV/atom) = -1.064

a b c (Å): 8.654 8.626 8.626
angles (deg): 90.09 120.02 120.02
Fractional positions:
1 Ho 0.995 0.251 0.251
2 Ho 0.503 0.754 0.754
3 Ho 0.000 0.251 0.749
4 Ho 0.500 0.754 0.246
5 Ho 0.500 0.246 0.754
6 Ho 0.005 0.749 0.749
7 Ho 0.497 0.246 0.246
8 Ho 0.000 0.749 0.251
9 Sb 0.000 0.500 0.000
10 Sb 0.500 0.000 0.000
11 Sb 0.000 0.000 0.500
12 Sb 0.000 0.000 0.000
13 Te 0.500 0.500 0.000
14 Te 0.500 0.000 0.500
15 Te 0.500 0.500 0.500


Which value of M_tot does entry 4 give?
0.0 μB/f.u.


What is the formula in the fourth record?
Ho8Sb4Te3


M_tot of number 2 (RbIO2)?
0.0 μB/f.u.